SmZnInS3 PBE relaxed; symmetry = Cmcm, No. 63; E_tot = -4.655 eV/atom; size of the total moment = 0.0 μB/f.u.; E above lowest polymorph = 0.00 eV/f.u.
1.0
2.008 -7.033 0.000
2.008 7.033 0.000
0.000 0.000 10.785
Sm Zn In S
2 2 2 6
Direct
0.000 0.000 0.000
0.000 0.000 0.500
0.462 0.538 0.750
0.538 0.462 0.250
0.252 0.748 0.250
0.748 0.252 0.750
0.062 0.938 0.750
0.372 0.628 0.569
0.372 0.628 0.931
0.628 0.372 0.069
0.628 0.372 0.431
0.938 0.062 0.250